No. 1
This record from Alexandria describes a geometry-optimized Li2CaBePt structure. The functional is PBE.

Summary:
The formation energy comes out at -0.266 eV per atom. The magnetization is 0.000 μB/cell. The value obtained for the energy is -3.39 eV/atom.

Structure (CIF):
```
data_Li2CaBePt
_chemical_formula_sum 'Li2 Ca1 Be1 Pt1'
_cell_length_a 4.5138
_cell_length_b 4.5138
_cell_length_c 4.3607
_cell_angle_alpha 90.00
_cell_angle_beta 90.00
_cell_angle_gamma 90.00
_space_group_name_H-M_alt 'P 4/m m m'
_space_group_IT_number 123
_space_group_name_Hall '-P 4 2'
loop_
_atom_site_label
_atom_site_type_symbol
_atom_site_fract_x
_atom_site_fract_y
_atom_site_fract_z
Li1 Li 0.0000 0.5000 0.0000
Ca1 Ca 0.0000 0.0000 0.5000
Be1 Be 0.5000 0.5000 0.0000
Pt1 Pt 0.5000 0.5000 0.5000
```

=====

No. 2
This record from Alexandria describes a geometry-optimized TeP2RuCl structure. The functional is PBE.

Summary:
The value obtained for the uncorrected formation energy is 1585 meV/atom. The magnetization is 3.586 μB/cell. The value obtained for the energy is -3.43 eV/atom.

Structure (CIF):
```
data_TeP2RuCl
_chemical_formula_sum 'Te1 P2 Ru1 Cl1'
_cell_length_a 5.0601
_cell_length_b 5.0601
_cell_length_c 5.1119
_cell_angle_alpha 90.00
_cell_angle_beta 90.00
_cell_angle_gamma 90.00
_space_group_name_H-M_alt 'P 4/m m m'
_space_group_IT_number 123
_space_group_name_Hall '-P 4 2'
loop_
_atom_site_label
_atom_site_type_symbol
_atom_site_fract_x
_atom_site_fract_y
_atom_site_fract_z
Te1 Te 0.0000 0.0000 0.0000
P1 P 0.0000 0.5000 0.0000
Ru1 Ru 0.5000 0.5000 0.5000
Cl1 Cl 0.0000 0.0000 0.5000
```

=====

Q: Which of these has the lowest energy?
A: TeP2RuCl

=====

Q: magnetization of number 2 (TeP2RuCl)?
A: 3.586 μB/cell

=====

Q: Which of these has the lowest magnetization?
A: Li2CaBePt

=====

Q: Number 1 is which compound?
A: Li2CaBePt